[1]
This record from Alexandria via LeMat-Bulk describes a relaxed structure of TiBiH2. The functional is PBE-GGA.

abc: 4.397 4.397 6.375
angles: 69.82 69.82 90.00
Atoms (fractional coordinates):
H 0.374 0.125 0.250
H 0.376 0.625 0.250
H 0.875 0.624 0.750
H 0.375 0.626 0.750
Bi 0.000 0.000 0.000
Bi 0.750 0.250 0.500
Ti 0.250 0.750 0.500
Ti 0.500 0.500 0.000

Properties
SG: I4_1/amd, No. 141


[2]
This record from Alexandria via LeMat-Bulk describes a relaxed structure of Ti5Bi2H. The functional is PBE-GGA.

abc: 5.877 5.877 5.913
angles: 119.80 119.79 90.01
Atoms (fractional coordinates):
Ti 0.256 0.754 0.011
Ti 0.753 0.753 0.505
Ti 0.754 0.754 0.011
Ti 0.754 0.256 0.011
Ti 0.256 0.256 0.011
H 0.994 0.994 0.989
Bi 0.754 0.254 0.508
Bi 0.254 0.754 0.508

Properties
SG: I4mm, No. 107


[3]
This record from Alexandria via LeMat-Bulk describes a relaxed structure of Ti2BiH. The functional is PBE-GGA.

abc: 4.603 3.743 7.271
angles: 104.86 90.00 90.00
Atoms (fractional coordinates):
H 0.750 0.207 0.414
H 0.250 0.793 0.586
Ti 0.250 0.261 0.523
Ti 0.750 0.072 0.145
Ti 0.250 0.928 0.855
Ti 0.750 0.739 0.477
Bi 0.750 0.405 0.811
Bi 0.250 0.595 0.189

Properties
SG: Cmcm, No. 63


[4]
This record from Alexandria via LeMat-Bulk describes a relaxed structure of Ti3BiH. The functional is PBE-GGA.

abc: 4.898 5.894 5.894
angles: 63.35 92.91 92.91
Atoms (fractional coordinates):
H 0.572 0.498 0.495
H 0.072 0.393 0.601
Ti 0.340 0.657 0.146
Ti 0.342 0.150 0.653
Ti 0.311 0.641 0.632
Ti 0.833 0.361 0.352
Ti 0.804 0.848 0.336
Ti 0.802 0.340 0.843
Bi 0.836 0.835 0.834
Bi 0.307 0.159 0.158

Properties
SG: C2, No. 5


[5]
This record from Alexandria via LeMat-Bulk describes a relaxed structure of Ti2BiH. The functional is PBE-GGA.

abc: 3.324 3.324 6.874
angles: 76.01 76.01 60.00
Each line ends with the local moment (μB).
Atoms (fractional coordinates):
Ti 0.282 0.282 0.155  0.31
Ti 0.050 0.050 0.849  0.31
H 0.668 0.668 0.995  0.00
Bi 0.500 0.500 0.501  -0.02

Properties
SG: R3m, No. 160


[6]
This record from Alexandria via LeMat-Bulk describes a relaxed structure of Ti4BiH. The functional is PBE-GGA.

abc: 4.593 5.738 7.393
angles: 90.00 108.10 90.00
Atoms (fractional coordinates):
Ti 0.301 0.033 0.602
Ti 0.301 0.528 0.602
Ti 0.108 0.781 0.216
Ti 0.500 0.531 0.000
Ti 0.699 0.533 0.398
Ti 0.500 0.031 0.000
Ti 0.892 0.281 0.784
Ti 0.699 0.028 0.398
H 0.401 0.281 0.803
H 0.599 0.781 0.197
Bi 0.104 0.281 0.207
Bi 0.896 0.781 0.793

Properties
SG: Cmcm, No. 63


[7]
This record from Alexandria via LeMat-Bulk describes a relaxed structure of Ti3BiH. The functional is PBE-GGA.

abc: 10.866 7.731 7.731
angles: 81.10 124.25 55.75
Atoms (fractional coordinates):
Bi 0.983 0.451 0.710
Bi 0.017 0.549 0.290
Bi 0.483 0.790 0.049
Bi 0.517 0.210 0.951
Ti 0.609 0.318 0.316
Ti 0.391 0.682 0.684
Ti 0.106 0.947 0.913
Ti 0.971 0.209 0.417
Ti 0.891 0.816 0.818
Ti 0.606 0.587 0.553
Ti 0.394 0.413 0.447
Ti 0.894 0.053 0.087
Ti 0.109 0.184 0.182
Ti 0.529 0.917 0.709
Ti 0.029 0.791 0.583
Ti 0.471 0.083 0.291
H 0.750 0.192 0.692
H 0.250 0.565 0.065
H 0.750 0.435 0.935
H 0.250 0.808 0.308

Properties
SG: C2/c, No. 15


[8]
This record from Alexandria via LeMat-Bulk describes a relaxed structure of Ti3BiH. The functional is PBE-GGA.

abc: 4.690 4.690 10.943
angles: 77.63 77.63 90.00
Each line ends with the local moment (μB).
Atoms (fractional coordinates):
Ti 0.123 0.869 0.754  0.25
Ti 0.131 0.877 0.246  0.22
Ti 0.672 0.672 0.657  0.97
Ti 0.623 0.877 0.246  0.22
Ti 0.123 0.377 0.754  0.25
Ti 0.328 0.328 0.343  0.87
H 0.642 0.142 0.716  -0.01
H 0.858 0.358 0.284  -0.01
Bi 0.000 0.000 0.000  0.04
Bi 0.250 0.750 0.500  -0.02

Properties
SG: I-4m2, No. 119


[9]
This record from Alexandria via LeMat-Bulk describes a relaxed structure of Ti5BiH2. The functional is PBE-GGA.

abc: 4.048 4.048 8.176
angles: 112.17 112.17 89.21
Atoms (fractional coordinates):
Ti 0.243 0.745 0.324
Ti 0.757 0.255 0.676
Ti 0.745 0.243 0.324
Ti 0.255 0.757 0.676
Ti 0.000 0.000 0.000
H 0.211 0.211 0.278
H 0.789 0.789 0.722
Bi 0.500 0.500 0.000

Properties
SG: C2/m, No. 12


[10]
This record from Alexandria via LeMat-Bulk describes a relaxed structure of Ti3BiH. The functional is PBE-GGA.

abc: 3.644 6.216 7.441
angles: 71.33 90.00 90.00
Atoms (fractional coordinates):
Ti 0.730 0.500 0.189
Ti 0.730 0.806 0.682
Ti 0.230 0.394 0.925
Ti 0.730 0.031 0.195
Ti 0.230 0.700 0.417
Ti 0.230 0.169 0.411
H 0.230 0.867 0.589
H 0.730 0.333 0.017
Bi 0.230 0.855 0.979
Bi 0.730 0.345 0.628

Properties
SG: P2_1/m, No. 11


[11]
This record from Alexandria via LeMat-Bulk describes a relaxed structure of Ti3BiH. The functional is PBE-GGA.

abc: 5.342 5.342 7.046
angles: 67.73 67.73 90.00
Atoms (fractional coordinates):
Ti 0.133 0.872 0.257
Ti 0.312 0.312 0.375
Ti 0.128 0.867 0.743
Ti 0.128 0.390 0.743
Ti 0.610 0.872 0.257
Ti 0.688 0.688 0.625
H 0.250 0.750 0.500
H 0.000 0.000 0.000
Bi 0.902 0.402 0.196
Bi 0.598 0.098 0.804

Properties
SG: I-4m2, No. 119


[12]
This record from Alexandria via LeMat-Bulk describes a relaxed structure of Ti7Bi2H2. The functional is PBE-GGA.

abc: 5.764 5.635 5.635
angles: 101.75 94.51 94.51
Atoms (fractional coordinates):
Ti 0.839 0.337 0.337
Ti 0.350 0.172 0.497
Ti 0.350 0.497 0.172
Ti 0.161 0.663 0.663
Ti 0.500 0.000 0.000
Ti 0.650 0.828 0.503
Ti 0.650 0.503 0.828
H 0.484 0.743 0.743
H 0.516 0.257 0.257
Bi 0.000 0.818 0.182
Bi 0.000 0.182 0.818

Properties
SG: C2/m, No. 12


Number 1: calculated total energy -4.594 eV per atom, total moment 0.00 μB per cell, V 13.453 A^3/atom. Number 2: calculated total energy -6.395 eV per atom, total moment 0.00 μB per cell, V 18.161 A^3/atom. Number 3: calculated total energy -5.956 eV per atom, total moment 0.00 μB per cell, V 15.134 A^3/atom. Number 4: calculated total energy -6.402 eV per atom, total moment 0.00 μB per cell, V 15.181 A^3/atom. Number 5: calculated total energy -5.869 eV per atom, total moment 0.68 μB per cell, V 15.790 A^3/atom. Number 6: calculated total energy -6.597 eV per atom, total moment 0.00 μB per cell, V 15.433 A^3/atom. Number 7: calculated total energy -6.338 eV per atom, total moment 0.00 μB per cell, V 16.057 A^3/atom. Number 8: calculated total energy -5.422 eV per atom, total moment 3.55 μB per cell, V 22.939 A^3/atom. Number 9: calculated total energy -6.390 eV per atom, total moment 0.00 μB per cell, V 14.201 A^3/atom. Number 10: calculated total energy -6.407 eV per atom, total moment 0.00 μB per cell, V 15.965 A^3/atom. Number 11: calculated total energy -6.144 eV per atom, total moment 0.00 μB per cell, V 16.974 A^3/atom. Number 12: calculated total energy -6.447 eV per atom, total moment 0.00 μB per cell, V 16.166 A^3/atom.